The following is a PBE-GGA calculation of a relaxed Na2Cd4Sn5 crystal, from Alexandria via LeMat-Bulk.

a b c (Å): 6.211 7.644 7.644
angles (deg): 72.89 66.03 66.03
Element x y z (fractional)
Cd  0.247  0.084  0.422
Cd  0.247  0.422  0.084
Cd  0.753  0.916  0.578
Cd  0.753  0.578  0.916
Sn  0.000  0.500  0.500
Sn  0.245  0.827  0.173
Sn  0.755  0.173  0.827
Sn  0.245  0.173  0.827
Sn  0.755  0.827  0.173
Na  0.330  0.670  0.670
Na  0.670  0.330  0.330

Results
**Energy above the most stable polymorph in this dataset**: 0.085 eV/f.u.
**Crystal system**: orthorhombic
**Raw total energy**: -2.42 eV/atom
**D(E_F)**: 2.64 states/eV per cell
**Magnetization**: 0.00 μB/atom
**Calculated formation energy**: -27 meV/atom
**Symmetry**: No. 71
**Density**: 6.0 Mg/m³

***

The following is a PBE-GGA calculation of a relaxed Ge2Au2N crystal, from Alexandria via LeMat-Bulk.

a b c (Å): 5.852 5.852 5.597
angles (deg): 90.00 90.00 90.00
Element x y z (fractional)
Au  0.250  0.750  0.000
Au  0.750  0.250  0.000
Au  0.750  0.750  0.000
Au  0.250  0.250  0.000
Ge  0.250  0.750  0.500
Ge  0.750  0.250  0.500
Ge  0.250  0.250  0.500
Ge  0.750  0.750  0.500
N  0.500  0.500  0.000
N  0.000  0.000  0.000

Results
**Energy above the most stable polymorph in this dataset**: 0.000 eV/f.u.
**Crystal system**: tetragonal
**Raw total energy**: -4.05 eV/atom
**Energy relative to the elements, uncorrected**: 0.77 eV per atom
**D(E_F)**: 4.19 states/eV per cell
**Magnetization**: 0.00 μB/atom
**Symmetry**: No. 123
**Density**: 9.6 Mg/m³

***

The following is a PBE-GGA calculation of a relaxed W4Se3 crystal, from Alexandria via LeMat-Bulk.

a b c (Å): 5.248 5.248 4.981
angles (deg): 90.00 90.00 120.00
Element x y z (fractional)
W  0.667  0.333  0.500
W  0.000  0.000  0.259
W  0.000  0.000  0.741
W  0.333  0.667  0.500
Se  0.000  0.500  0.000
Se  0.500  0.000  0.000
Se  0.500  0.500  0.000

Results
**Energy above the most stable polymorph in this dataset**: 7.961 eV/f.u.
**Crystal system**: hexagonal
**Raw total energy**: -7.59 eV/atom
**Energy relative to the elements, uncorrected**: 1.31 eV per atom
**D(E_F)**: 4.94 states/eV per cell
**Magnetization**: 0.00 μB/atom
**Symmetry**: No. 191
**Density**: 13.6 Mg/m³

***

The following is a PBE-GGA calculation of a relaxed Er3Zn2Ga crystal, from Alexandria via LeMat-Bulk.

a b c (Å): 4.996 4.996 6.146
angles (deg): 90.00 90.00 120.00
Element x y z (fractional)
Er  0.333  0.667  0.166
Er  0.000  0.000  0.500
Er  0.667  0.333  0.834
Zn  0.667  0.333  0.346
Zn  0.333  0.667  0.654
Ga  0.000  0.000  0.000

Results
**Energy above the most stable polymorph in this dataset**: 0.000 eV/f.u.
**Crystal system**: trigonal
**Raw total energy**: -3.64 eV/atom
**D(E_F)**: 6.13 states/eV per cell
**Magnetization**: 0.00 μB/atom
**Calculated formation energy**: -432 meV/atom
**Symmetry**: No. 164
**Density**: 8.8 Mg/m³

***

The following is a PBE-GGA calculation of a relaxed Cs3Sn5S12 crystal, from Alexandria via LeMat-Bulk.

a b c (Å): 14.528 14.528 14.528
angles (deg): 109.47 109.47 109.47
Element x y z (fractional)
S  0.803  0.486  0.396
S  0.303  0.896  0.986
S  0.183  0.094  0.697
S  0.589  0.986  0.683
S  0.411  0.014  0.317
S  0.183  0.089  0.986
S  0.986  0.589  0.183
S  0.697  0.594  0.183
S  0.317  0.803  0.406
S  0.104  0.406  0.089
S  0.683  0.197  0.594
S  0.396  0.411  0.094
S  0.396  0.986  0.803
S  0.303  0.406  0.817
S  0.906  0.817  0.803
S  0.486  0.683  0.089
S  0.514  0.317  0.911
S  0.514  0.197  0.104
S  0.486  0.803  0.896
S  0.411  0.396  0.594
S  0.683  0.486  0.589
S  0.014  0.604  0.697
S  0.817  0.911  0.014
S  0.803  0.317  0.906
S  0.589  0.604  0.406
S  0.104  0.697  0.514
S  0.906  0.089  0.604
S  0.986  0.396  0.303
S  0.604  0.014  0.197
S  0.896  0.594  0.911
S  0.197  0.514  0.604
S  0.094  0.183  0.197
S  0.094  0.911  0.396
S  0.406  0.303  0.317
S  0.911  0.094  0.896
S  0.604  0.589  0.906
S  0.406  0.104  0.589
S  0.197  0.683  0.094
S  0.896  0.303  0.486
S  0.594  0.697  0.683
S  0.014  0.411  0.817
S  0.317  0.514  0.411
S  0.697  0.104  0.014
S  0.089  0.183  0.486
S  0.594  0.896  0.411
S  0.911  0.817  0.514
S  0.817  0.906  0.303
S  0.089  0.906  0.104
Sn  0.875  0.250  0.625
Sn  0.125  0.375  0.250
Sn  0.000  0.500  0.000
Sn  0.625  0.875  0.250
Sn  0.500  0.000  0.000
Sn  0.375  0.125  0.750
Sn  0.500  0.500  0.500
Sn  0.500  0.500  0.000
Sn  0.000  0.000  0.000
Sn  0.000  0.000  0.500
Sn  0.625  0.750  0.875
Sn  0.500  0.000  0.500
Sn  0.750  0.125  0.875
Sn  0.250  0.875  0.125
Sn  0.250  0.375  0.625
Sn  0.750  0.625  0.375
Sn  0.875  0.625  0.750
Sn  0.000  0.500  0.500
Sn  0.125  0.750  0.375
Sn  0.375  0.250  0.125
Cs  0.125  0.250  0.875
Cs  0.875  0.750  0.125
Cs  0.250  0.625  0.875
Cs  0.250  0.125  0.375
Cs  0.625  0.375  0.750
Cs  0.750  0.875  0.625
Cs  0.375  0.750  0.625
Cs  0.125  0.875  0.750
Cs  0.625  0.250  0.375
Cs  0.375  0.625  0.250
Cs  0.875  0.125  0.250
Cs  0.750  0.375  0.125

Results
**Crystal system**: cubic
**Raw total energy**: -4.01 eV/atom
**Energy relative to the elements, uncorrected**: -0.41 eV per atom
**D(E_F)**: 88.32 states/eV per cell
**Magnetization**: 0.00 μB/atom
**Symmetry**: No. 230
**Density**: 3.9 Mg/m³

***

The following is a PBE-GGA calculation of a relaxed AlSbSe2 crystal, from Alexandria via LeMat-Bulk.

a b c (Å): 8.779 8.779 8.779
angles (deg): 24.14 24.14 24.14
Element x y z (fractional)
Al  0.500  0.500  0.500
Sb  0.000  0.000  0.000
Se  0.111  0.111  0.111
Se  0.889  0.889  0.889

Results
**Energy above the most stable polymorph in this dataset**: 0.000 eV/f.u.
**Crystal system**: trigonal
**Raw total energy**: -4.20 eV/atom
**Energy relative to the elements, uncorrected**: -0.49 eV per atom
**D(E_F)**: 0.67 states/eV per cell
**Magnetization**: 0.00 μB/atom
**Symmetry**: No. 166
**Density**: 5.1 Mg/m³

***

The following is a PBE-GGA calculation of a relaxed Tm2MgPt4 crystal, from Alexandria via LeMat-Bulk.

a b c (Å): 4.566 4.572 7.420
angles (deg): 84.83 84.86 65.94
Element x y z (fractional)
Tm  0.288  0.287  0.285
Tm  0.712  0.713  0.715
Pt  0.090  0.092  0.642
Pt  0.351  0.351  0.891
Pt  0.910  0.908  0.358
Pt  0.649  0.649  0.109
Mg  0.000  0.000  0.000

Results
**Crystal system**: triclinic
**Raw total energy**: -5.98 eV/atom
**D(E_F)**: 2.33 states/eV per cell
**Magnetization**: 0.00 μB/atom
**Calculated formation energy**: -1024 meV/atom
**Symmetry**: No. 2
**Density**: 13.5 Mg/m³

***

The following is a PBE-GGA calculation of a relaxed TcOs2W crystal, from Alexandria via LeMat-Bulk.

a b c (Å): 9.227 9.227 9.227
angles (deg): 17.14 17.14 17.14
Element x y z (fractional)
W  0.750  0.750  0.750
Os  0.502  0.502  0.502
Os  0.998  0.998  0.998
Tc  0.250  0.250  0.250

Results
**Energy above the most stable polymorph in this dataset**: 0.515 eV/f.u.
**Crystal system**: trigonal
**Raw total energy**: -11.33 eV/atom
**D(E_F)**: 3.32 states/eV per cell
**Magnetization**: 0.00 μB/atom
**Calculated formation energy**: 115 meV/atom
**Symmetry**: No. 166
**Density**: 18.5 Mg/m³

***

The following is a PBE-GGA calculation of a relaxed Np2SiHPt6 crystal, from Alexandria via LeMat-Bulk.

a b c (Å): 5.634 6.877 5.645
angles (deg): 65.76 60.00 89.96
Last column: magnetic moment on the atom in μB.
Element x y z (fractional)
Np  0.787  0.360  0.426  3.66
Np  0.213  0.640  0.574  3.66
Pt  0.271  0.804  0.963  -0.02
Pt  0.766  0.803  0.964  -0.02
Pt  0.767  0.804  0.467  -0.02
Pt  0.233  0.196  0.533  -0.02
Pt  0.234  0.197  0.036  -0.02
Pt  0.729  0.196  0.037  -0.02
Si  0.500  0.500  0.000  -0.01
H  0.000  0.000  0.000  0.00

Results
**Crystal system**: monoclinic
**Raw total energy**: -7.64 eV/atom
**D(E_F)**: 21.04 states/eV per cell
**Magnetization**: 0.76 μB/atom
**Symmetry**: No. 12
**Density**: 16.7 Mg/m³

***

The following is a PBE-GGA calculation of a relaxed PmPuTlZn crystal, from Alexandria via LeMat-Bulk.

a b c (Å): 5.319 5.319 5.319
angles (deg): 60.00 60.00 60.00
Last column: magnetic moment on the atom in μB.
Element x y z (fractional)
Pm  0.000  0.000  0.000  0.22
Pu  0.500  0.500  0.500  5.53
Tl  0.750  0.750  0.750  -0.02
Zn  0.250  0.250  0.250  0.04

Results
**Crystal system**: cubic
**Raw total energy**: -5.82 eV/atom
**D(E_F)**: 8.58 states/eV per cell
**Magnetization**: 1.60 μB/atom
**Calculated formation energy**: -136 meV/atom
**Symmetry**: No. 216
**Density**: 10.3 Mg/m³

***

The following is a PBE-GGA calculation of a relaxed LuZrPa crystal, from Alexandria via LeMat-Bulk.

a b c (Å): 3.280 5.192 5.192
angles (deg): 120.00 90.00 90.00
Element x y z (fractional)
Lu  0.667  0.667  0.333
Zr  0.167  0.000  0.000
Pa  0.166  0.333  0.667

Results
**Energy above the most stable polymorph in this dataset**: 0.000 eV/f.u.
**Crystal system**: hexagonal
**Raw total energy**: -7.40 eV/atom
**D(E_F)**: 3.60 states/eV per cell
**Magnetization**: 0.00 μB/atom
**Calculated formation energy**: 124 meV/atom
**Symmetry**: No. 187
**Density**: 10.8 Mg/m³

***

The following is a PBE-GGA calculation of a relaxed CaCeMgRh crystal, from Alexandria via LeMat-Bulk.

a b c (Å): 5.114 5.114 5.114
angles (deg): 60.00 60.00 60.00
Last column: magnetic moment on the atom in μB.
Element x y z (fractional)
Rh  0.500  0.500  0.500  -0.07
Ce  0.250  0.250  0.250  0.50
Ca  0.750  0.750  0.750  0.00
Mg  0.000  0.000  0.000  0.00

Results
**Crystal system**: cubic
**Raw total energy**: -4.40 eV/atom
**D(E_F)**: 6.88 states/eV per cell
**Magnetization**: 0.13 μB/atom
**Calculated formation energy**: -184 meV/atom
**Symmetry**: No. 216
**Density**: 5.4 Mg/m³

***

What is the raw total energy in the twelfth record?
-4.40 eV/atom